Record 1
Here is a geometry-optimized Sc2UTl2S6 structure from Alexandria. Energies are from PBE.

a b c (Å): 6.653 6.653 7.914
angles (deg): 98.08 98.08 120.15
Sites, in units of the cell vectors:
S1 0.597 0.938 0.312
S2 0.403 0.062 0.688
S3 0.062 0.403 0.688
S4 0.722 0.722 0.689
S5 0.938 0.597 0.312
S6 0.278 0.278 0.311
Tl1 0.166 0.834 0.000
Tl2 0.834 0.166 0.000
U1 0.000 0.000 0.500
Sc1 0.667 0.333 0.500
Sc2 0.333 0.667 0.500

Record 2
Here is a geometry-optimized ScU3Tl4S8 structure from Alexandria. Energies are from PBE.

a b c (Å): 7.907 8.917 7.908
angles (deg): 116.33 120.00 90.00
Sites, in units of the cell vectors:
Tl1 0.500 0.000 0.500
Tl2 0.000 0.000 0.000
Tl3 0.000 0.000 0.500
Tl4 0.500 0.000 0.000
S1 0.775 0.309 0.033
S2 0.267 0.301 0.534
S3 0.733 0.699 0.466
S4 0.742 0.691 0.967
S5 0.775 0.309 0.550
S6 0.225 0.691 0.967
S7 0.258 0.309 0.033
S8 0.225 0.691 0.450
U1 0.000 0.500 0.500
U2 0.500 0.500 0.000
U3 0.500 0.500 0.500
Sc1 0.000 0.500 0.000

Record 3
Here is a geometry-optimized ScU3Tl3S8 structure from Alexandria. Energies are from PBE.

a b c (Å): 7.886 7.886 8.895
angles (deg): 116.33 90.00 120.00
Sites, in units of the cell vectors:
U1 0.000 0.500 0.500
U2 0.500 0.000 0.500
U3 0.500 0.500 0.500
S1 0.741 0.966 0.690
S2 0.225 0.966 0.690
S3 0.775 0.550 0.310
S4 0.267 0.534 0.301
S5 0.775 0.034 0.310
S6 0.225 0.450 0.690
S7 0.259 0.034 0.310
S8 0.733 0.466 0.699
Tl1 0.000 0.000 0.000
Tl2 0.000 0.500 0.000
Tl3 0.500 0.500 0.000
Sc1 0.000 0.000 0.500

Record 4
Here is a geometry-optimized ScUTl2S4 structure from Alexandria. Energies are from PBE.

a b c (Å): 3.918 6.731 7.973
angles (deg): 106.38 90.00 90.00
Sites, in units of the cell vectors:
Tl1 0.500 0.000 0.500
Tl2 0.000 0.500 0.500
U1 0.500 0.500 0.000
S1 0.000 0.742 0.194
S2 0.500 0.219 0.187
S3 0.500 0.781 0.813
S4 0.000 0.258 0.806
Sc1 0.000 0.000 0.000

Record 5
Here is a geometry-optimized Sc3Tl3VS8 structure from Alexandria. Energies are from PBE.

a b c (Å): 7.388 7.388 8.670
angles (deg): 115.22 90.00 120.00
Sites, in units of the cell vectors:
S1 0.781 0.563 0.316
S2 0.219 0.965 0.684
S3 0.747 0.965 0.684
S4 0.730 0.460 0.690
S5 0.270 0.540 0.310
S6 0.781 0.035 0.316
S7 0.253 0.035 0.316
S8 0.219 0.437 0.684
Sc1 0.500 0.500 0.500
Sc2 0.000 0.500 0.500
Sc3 0.500 0.000 0.500
Tl1 0.500 0.500 0.000
Tl2 0.000 0.500 0.000
Tl3 0.000 0.000 0.000
V1 0.000 0.000 0.500

Record 6
Here is a geometry-optimized Y3ScTl2S structure from Alexandria. Energies are from PBE.

a b c (Å): 4.800 5.032 8.749
angles (deg): 106.71 105.92 90.00
Sites, in units of the cell vectors:
Tl1 0.366 0.366 0.732
Tl2 0.634 0.634 0.268
S1 0.000 0.000 0.000
Y1 0.000 0.500 0.000
Y2 0.829 0.829 0.657
Y3 0.171 0.171 0.343
Sc1 0.500 0.000 0.000

Record 7
Here is a geometry-optimized YSc2Tl3S6 structure from Alexandria. Energies are from PBE.

a b c (Å): 6.730 6.730 7.820
angles (deg): 98.25 98.25 119.95
Sites, in units of the cell vectors:
S1 0.716 0.716 0.190
S2 0.284 0.284 0.810
S3 0.936 0.589 0.807
S4 0.064 0.411 0.193
S5 0.589 0.936 0.807
S6 0.411 0.064 0.193
Tl1 0.500 0.500 0.500
Tl2 0.836 0.164 0.500
Tl3 0.164 0.836 0.500
Y1 0.000 0.000 0.000
Sc1 0.667 0.333 0.000
Sc2 0.333 0.667 0.000

Record 8
Here is a geometry-optimized Y2ScTl3S6 structure from Alexandria. Energies are from PBE.

a b c (Å): 6.862 6.862 7.844
angles (deg): 98.38 98.38 119.96
Sites, in units of the cell vectors:
Tl1 0.500 0.500 0.500
Tl2 0.831 0.169 0.500
Tl3 0.169 0.831 0.500
S1 0.745 0.745 0.197
S2 0.065 0.385 0.194
S3 0.385 0.065 0.194
S4 0.935 0.615 0.806
S5 0.615 0.935 0.806
S6 0.255 0.255 0.803
Sc1 0.000 0.000 0.000
Y1 0.333 0.667 0.000
Y2 0.667 0.333 0.000

Number 1: ΔE_f (raw) -1377.5 meV/atom, E -68.60 eV for the cell shown. Number 2: ΔE_f (raw) -1093.7 meV/atom, E -100.18 eV for the cell shown. Number 3: ΔE_f (raw) -1193.5 meV/atom, E -98.22 eV for the cell shown. Number 4: ΔE_f (raw) -1177.4 meV/atom, E -48.28 eV for the cell shown. Number 5: ΔE_f (raw) -1228.6 meV/atom, E -86.66 eV for the cell shown. Number 6: ΔE_f (raw) -722.0 meV/atom, E -39.64 eV for the cell shown. Number 7: ΔE_f (raw) -1404.9 meV/atom, E -67.85 eV for the cell shown. Number 8: ΔE_f (raw) -1446.0 meV/atom, E -68.48 eV for the cell shown.